(1)
{"formula": "PuPa2Tc", "functional": "PBE", "state": "relaxed", "lattice": [[3.276, 0.000, 0.000], [0.000, 5.054, 0.000], [0.000, 0.000, 5.054]], "species": ["Pa", "Pa", "Tc", "Pu"], "frac_coords": [[0.000, 0.000, 0.500], [0.000, 0.500, 0.000], [0.500, 0.500, 0.500], [0.500, 0.000, 0.000]], "dos_ef_per_ev_cell": 6.16, "formation_enthalpy_0k_ev_per_atom": -0.053, "magmom_total_mub_per_cell": 4.336}


(2)
{"formula": "Cs3PuAg2Cl8", "functional": "PBE", "state": "relaxed", "lattice": [[7.593, 0.000, 0.000], [-3.796, 6.576, 0.000], [0.000, 0.000, 10.228]], "species": ["Cs", "Cs", "Cs", "Pu", "Ag", "Ag", "Cl", "Cl", "Cl", "Cl", "Cl", "Cl", "Cl", "Cl"], "frac_coords": [[0.333, 0.667, 0.636], [0.667, 0.333, 0.364], [0.000, 0.000, 0.000], [0.000, 0.000, 0.500], [0.333, 0.667, 0.191], [0.667, 0.333, 0.809], [0.333, 0.667, 0.956], [0.667, 0.333, 0.044], [0.165, 0.835, 0.341], [0.835, 0.165, 0.659], [0.165, 0.329, 0.341], [0.835, 0.671, 0.659], [0.671, 0.835, 0.341], [0.329, 0.165, 0.659]], "dos_ef_per_ev_cell": 10.61, "magmom_total_mub_per_cell": 5.000, "e_form_raw_mev_per_atom": -1519}


(3)
{"formula": "CaY2ErSe4", "functional": "PBE", "state": "relaxed", "lattice": [[-2.127, 3.002, 1.759], [-2.396, -4.555, 4.876], [6.051, 2.929, 2.318]], "species": ["Ca", "Y", "Y", "Er", "Se", "Se", "Se", "Se"], "frac_coords": [[0.000, 0.000, 0.000], [0.500, 0.000, 0.500], [0.000, 0.500, 0.500], [0.500, 0.500, 0.000], [0.500, 0.253, 0.249], [0.500, 0.747, 0.751], [0.000, 0.253, 0.753], [0.000, 0.747, 0.247]], "dos_ef_per_ev_cell": 3.01, "magmom_total_mub_per_cell": 0.000, "e_form_raw_mev_per_atom": -1803}